LaCrO3 (GGA+U, optimized geometry); uncorrected energy = -7.50 eV per atom; symmetry = Amm2, No. 38; V = 100.72 Å³/f.u.
1.0
3.2370 0.0000 0.0000
0.0000 3.1904 -4.8762
0.0000 3.1904 4.8762
O La Cr
3 1 1
direct
0.0000 0.2276 0.7724 O
0.5000 0.2577 0.3515 O
0.5000 0.6485 0.7423 O
0.5000 0.0710 0.9290 La
0.0000 0.4233 0.5767 Cr